1.
Material: La4Ho15Th
Method: DFT, PBE-GGA
State: optimized geometry

Properties
- VASP energy (eV per atom) = -4.757
- D(E_F) (states/eV/cell) = 30.9

Cell lengths 5.075, 5.075, 25.117 Å; angles 90.00, 90.00, 90.00 degrees
Space group P4/mmm (No. 123)
Inequivalent atoms, fractional coordinates:
La1 0.000 0.000 0.101 (multiplicity 2)
La2 0.000 0.000 0.301 (multiplicity 2)
Ho1 0.000 0.500 0.000 (multiplicity 2)
Ho2 0.000 0.500 0.202 (multiplicity 4)
Ho3 0.000 0.500 0.404 (multiplicity 4)
Ho4 0.500 0.500 0.101 (multiplicity 2)
Ho5 0.500 0.500 0.302 (multiplicity 2)
Ho6 0.500 0.500 0.500 (multiplicity 1)
Th1 0.000 0.000 0.500 (multiplicity 1)

2.
Material: TeMoPb2
Method: DFT, PBE-GGA
State: optimized geometry

Properties
- raw formation energy (eV per atom) = 0.684
- VASP energy (eV per atom) = -4.663
- D(E_F) (states/eV/cell) = 5.9

Cell lengths 5.109, 5.109, 7.933 Å; angles 90.00, 90.00, 90.00 degrees
Space group I-4m2 (No. 119)
Inequivalent atoms, fractional coordinates:
Te1 0.000 0.000 0.000 (multiplicity 2)
Mo1 0.000 0.500 0.750 (multiplicity 2)
Pb1 0.000 0.000 0.500 (multiplicity 2)
Pb2 0.000 0.500 0.250 (multiplicity 2)

3.
Material: VTc2Ru6
Method: DFT, PBE-GGA
State: optimized geometry

Properties
- VASP energy (eV per atom) = -9.364
- D(E_F) (states/eV/cell) = 36.0

Cell lengths 7.204, 9.016, 8.130 Å; angles 90.00, 102.40, 90.00 degrees
Space group C2/c (No. 15)
Inequivalent atoms, fractional coordinates:
V1 0.000 0.083 0.250 (multiplicity 4)
Tc1 0.158 0.339 0.190 (multiplicity 8)
Ru1 0.005 0.141 0.928 (multiplicity 8)
Ru2 0.147 0.402 0.869 (multiplicity 8)
Ru3 0.191 0.372 0.556 (multiplicity 8)

4.
Material: MgTi2Cd2
Method: DFT, PBE-GGA
State: optimized geometry

Properties
- polymorph energy (0 for the lowest one) (eV per atom) = 0.013
- VASP energy (eV per atom) = -3.638
- D(E_F) (states/eV/cell) = 6.0

Cell lengths 8.214, 8.214, 3.101 Å; angles 90.00, 90.00, 90.00 degrees
Space group P4/mbm (No. 127)
Inequivalent atoms, fractional coordinates:
Mg1 0.000 0.000 0.000 (multiplicity 2)
Ti1 0.109 0.391 0.000 (multiplicity 4)
Cd1 0.185 0.685 0.500 (multiplicity 4)

> Number 3 is which compound?

VTc2Ru6

> The highest D(E_F) belongs to which entry?

VTc2Ru6

> Which value of D(E_F) does entry 1 give?

30.9 states/eV/cell